# Dy4CuO7

An optimized crystal structure of Dy4CuO7 (PBE-GGA, Alexandria via LeMat-Bulk).

Summary:
ΔE_f (raw) (meV/atom): -3030
Fermi-level density of states (states/eV/cell): 1.45

Lattice parameters (Å, degrees): 3.882 6.560 6.778 84.29 73.36 72.79
Element x y z (fractional)
O 0.909 0.290 0.892
O 0.204 0.147 0.444
O 0.500 0.000 0.000
O 0.796 0.853 0.556
O 0.091 0.710 0.108
O 0.634 0.428 0.304
O 0.366 0.572 0.696
Dy 0.253 0.337 0.156
Dy 0.413 0.777 0.398
Dy 0.587 0.223 0.602
Dy 0.747 0.663 0.844
Cu 0.000 0.000 0.000